No. 1
A geometry-optimized AlIrPd structure. Source: Alexandria via LeMat-Bulk, functional PBE-GGA.

Cell: 2.925 2.925 10.163 Å, 90.00 90.00 90.00°
Space group I4mm (No. 107)
Unique sites:
1 Al 0.000 0.000 0.000 x2
2 Ir 0.000 0.000 0.644 x2
3 Pd 0.000 0.000 0.341 x2



No. 2
A geometry-optimized Pr2PaCr2C4 structure. Source: Alexandria via LeMat-Bulk, functional PBE-GGA.

Cell: 13.335 3.516 6.172 Å, 90.00 109.44 90.00°
Space group C2/m (No. 12)
Unique sites:
1 Pr 0.135 0.000 0.042 x4
2 Pa 0.000 0.000 0.500 x2
3 Cr 0.184 0.500 0.494 x4
4 C 0.045 0.500 0.272 x4
5 C 0.211 0.000 0.667 x4



No. 3
A geometry-optimized RbCd2F structure. Source: Alexandria via LeMat-Bulk, functional PBE-GGA.

Cell: 8.104 8.104 8.104 Å, 90.00 90.00 90.00°
Space group Fm-3m (No. 225)
Unique sites:
1 Rb 0.000 0.000 0.000 x4
2 Cd 0.250 0.250 0.250 x8
3 F 0.000 0.000 0.500 x4



No. 4
A geometry-optimized BeCuSi structure. Source: Alexandria via LeMat-Bulk, functional PBE-GGA.

Cell: 2.514 2.514 10.968 Å, 90.00 90.00 90.00°
Space group I4mm (No. 107)
Unique sites:
1 Be 0.000 0.000 0.000 x2
2 Cu 0.000 0.000 0.357 x2
3 Si 0.000 0.000 0.666 x2



No. 5
A geometry-optimized Rb4Pr3GaO8 structure. Source: Alexandria via LeMat-Bulk, functional PBE-GGA.

Cell: 12.796 7.065 7.729 Å, 90.00 120.81 90.00°
Space group C2/m (No. 12)
Unique sites:
1 Rb 0.000 0.000 0.000 x2
2 Rb 0.000 0.500 0.000 x2
3 Rb 0.250 0.250 0.000 x4
4 Pr 0.000 0.000 0.500 x2
5 Pr 0.250 0.250 0.500 x4
6 Ga 0.000 0.500 0.500 x2
7 O 0.024 0.290 0.342 x8
8 O 0.219 0.000 0.682 x4
9 O 0.239 0.000 0.285 x4



No. 6
A geometry-optimized Al2MoCl structure. Source: Alexandria via LeMat-Bulk, functional PBE-GGA.

Cell: 3.921 3.921 8.551 Å, 90.00 90.00 90.00°
Space group I4/mmm (No. 139)
Unique sites:
1 Al 0.000 0.500 0.250 x4
2 Mo 0.000 0.000 0.000 x2
3 Cl 0.000 0.000 0.500 x2



DFT total energy
In order: -6.4885; -8.4319; -1.7385; -4.2147; -5.9969; -4.6576
Unit: eV/atom